# 1
Below is crystalline Ba2Ta2Hg at its relaxed geometry, with properties calculated at the PBE level.

Values from the calculation:
- Fermi-level density of states: 6.6 states/eV/f.u.
- Total magnetization: 0.000 μB per formula unit
- E_tot: -4.4378 eV/atom
- Volume: 175.3 Å³ per cell
- Symmetry: I4/mmm, No. 139

a b c (Å): 6.1540 6.1540 6.1540
angles (deg): 114.79 114.79 99.29
Atoms (fractional coordinates):
Ba  0.2500  0.7500  0.5000
Ba  0.7500  0.2500  0.5000
Ta  0.1426  0.1426  0.0000
Ta  0.8574  0.8574  0.0000
Hg  0.5000  0.5000  0.0000

***

# 2
Below is crystalline BaTa2Hg at its relaxed geometry, with properties calculated at the PBE level.

Values from the calculation:
- Fermi-level density of states: 4.8 states/eV/f.u.
- Total magnetization: 0.000 μB per formula unit
- E_tot: -5.5961 eV/atom
- Volume: 104.1 Å³ per cell
- Symmetry: Pmmm, No. 47

a b c (Å): 3.2668 4.1246 7.7257
angles (deg): 90.00 90.00 90.00
Atoms (fractional coordinates):
Ba  0.0000  0.0000  0.0000
Ta  0.5000  0.5000  0.3337
Ta  0.5000  0.5000  0.6663
Hg  0.0000  0.0000  0.5000

***

# 3
Below is crystalline Ba2TaHg at its relaxed geometry, with properties calculated at the PBE level.

Values from the calculation:
- Fermi-level density of states: 4.0 states/eV/f.u.
- Total magnetization: 0.000 μB per formula unit
- E_tot: -3.4043 eV/atom
- Volume: 129.2 Å³ per cell
- Symmetry: P4/mmm, No. 123

a b c (Å): 3.5580 3.5580 10.2087
angles (deg): 90.00 90.00 90.00
Atoms (fractional coordinates):
Ba  0.0000  0.0000  0.2450
Ba  0.0000  0.0000  0.7550
Ta  0.5000  0.5000  0.0000
Hg  0.5000  0.5000  0.5000

***

# 4
Below is crystalline BaTa2Hg at its relaxed geometry, with properties calculated at the PBE level.

Values from the calculation:
- Fermi-level density of states: 5.6 states/eV/f.u.
- Total magnetization: 0.000 μB per formula unit
- E_tot: -5.8908 eV/atom
- Volume: 101.4 Å³ per cell
- Symmetry: R3m, No. 160

a b c (Å): 10.4353 10.4353 10.4353
angles (deg): 18.64 18.64 18.64
Atoms (fractional coordinates):
Ba  0.0000  0.0000  0.0000
Ta  0.2324  0.2324  0.2324
Ta  0.5049  0.5049  0.5049
Hg  0.7635  0.7635  0.7635

***

# 5
Below is crystalline BaTa2Hg at its relaxed geometry, with properties calculated at the PBE level.

Values from the calculation:
- Fermi-level density of states: 5.3 states/eV/f.u.
- Total magnetization: 0.000 μB per formula unit
- E_tot: -5.5492 eV/atom
- Volume: 94.9 Å³ per cell
- Symmetry: Pmmm, No. 47

a b c (Å): 3.1233 5.4366 5.5911
angles (deg): 90.00 90.00 90.00
Atoms (fractional coordinates):
Ba  0.0000  0.0000  0.0000
Ta  0.0000  0.5000  0.5000
Ta  0.5000  0.0000  0.5000
Hg  0.5000  0.5000  0.0000

***

# 6
Below is crystalline BaTa2TiHg at its relaxed geometry, with properties calculated at the PBE level.

Values from the calculation:
- Fermi-level density of states: 8.1 states/eV/f.u.
- Total magnetization: 1.388 μB per formula unit
- E_tot: -5.4106 eV/atom
- Volume: 145.9 Å³ per cell
- Symmetry: P4/mmm, No. 123

a b c (Å): 4.8390 4.8390 6.2302
angles (deg): 90.00 90.00 90.00
Atoms (fractional coordinates):
Ba  0.0000  0.0000  0.0000
Ta  0.0000  0.5000  0.5000
Ta  0.5000  0.0000  0.5000
Ti  0.0000  0.0000  0.5000
Hg  0.5000  0.5000  0.0000

***

# 7
Below is crystalline BaTbHg2 at its relaxed geometry, with properties calculated at the PBE level.

Values from the calculation:
- Fermi-level density of states: 2.5 states/eV/f.u.
- Total magnetization: 0.000 μB per formula unit
- E_tot: -2.0964 eV/atom
- Volume: 137.0 Å³ per cell
- Symmetry: R-3m, No. 166

a b c (Å): 9.5174 9.5174 9.5174
angles (deg): 25.15 25.15 25.15
Atoms (fractional coordinates):
Ba  0.0000  0.0000  0.0000
Tb  0.5000  0.5000  0.5000
Hg  0.2384  0.2384  0.2384
Hg  0.7616  0.7616  0.7616

***

# 8
Below is crystalline BaTbHg2 at its relaxed geometry, with properties calculated at the PBE level.

Values from the calculation:
- Fermi-level density of states: 2.7 states/eV/f.u.
- Total magnetization: 0.000 μB per formula unit
- E_tot: -2.2658 eV/atom
- Volume: 123.3 Å³ per cell
- Symmetry: P4/mmm, No. 123

a b c (Å): 3.9000 3.9000 8.1046
angles (deg): 90.00 90.00 90.00
Atoms (fractional coordinates):
Ba  0.0000  0.0000  0.0000
Tb  0.0000  0.0000  0.5000
Hg  0.5000  0.5000  0.2947
Hg  0.5000  0.5000  0.7053

***

# 9
Below is crystalline Ba3TbHg4 at its relaxed geometry, with properties calculated at the PBE level.

Values from the calculation:
- Fermi-level density of states: 3.7 states/eV/f.u.
- Total magnetization: 0.000 μB per formula unit
- E_tot: -1.9380 eV/atom
- Volume: 270.3 Å³ per cell
- Symmetry: P4/mmm, No. 123

a b c (Å): 4.0288 4.0288 16.6533
angles (deg): 90.00 90.00 90.00
Atoms (fractional coordinates):
Ba  0.0000  0.0000  0.0000
Ba  0.0000  0.0000  0.2641
Ba  0.0000  0.0000  0.7359
Tb  0.0000  0.0000  0.5000
Hg  0.5000  0.5000  0.1308
Hg  0.5000  0.5000  0.4021
Hg  0.5000  0.5000  0.5979
Hg  0.5000  0.5000  0.8692

***

# 10
Below is crystalline BaTb5Hg6 at its relaxed geometry, with properties calculated at the PBE level.

Values from the calculation:
- Fermi-level density of states: 9.9 states/eV/f.u.
- Total magnetization: 0.000 μB per formula unit
- E_tot: -2.6780 eV/atom
- Volume: 330.2 Å³ per cell
- Symmetry: Immm, No. 71

a b c (Å): 9.3015 9.3015 9.3015
angles (deg): 146.57 131.26 60.39
Atoms (fractional coordinates):
Ba  0.0000  0.0000  0.0000
Tb  0.1600  0.6600  0.5000
Tb  0.3296  0.3296  0.0000
Tb  0.5000  0.0000  0.5000
Tb  0.6704  0.6704  0.0000
Tb  0.8400  0.3400  0.5000
Hg  0.0920  0.8240  0.2681
Hg  0.2801  0.5000  0.7801
Hg  0.4441  0.1760  0.2681
Hg  0.5559  0.8240  0.7319
Hg  0.7199  0.5000  0.2199
Hg  0.9080  0.1760  0.7319

***

# 11
Below is crystalline BaTb2Hg at its relaxed geometry, with properties calculated at the PBE level.

Values from the calculation:
- Fermi-level density of states: 4.6 states/eV/f.u.
- Total magnetization: 0.202 μB per formula unit
- E_tot: -2.7990 eV/atom
- Volume: 142.2 Å³ per cell
- Symmetry: R-3m, No. 166

a b c (Å): 12.1275 12.1275 12.1275
angles (deg): 17.59 17.59 17.59
Atoms (fractional coordinates):
Ba  0.0000  0.0000  0.0000
Tb  0.1024  0.1024  0.1024
Tb  0.8976  0.8976  0.8976
Hg  0.5000  0.5000  0.5000

***

# 12
Below is crystalline Ba4TbHg5 at its relaxed geometry, with properties calculated at the PBE level.

Values from the calculation:
- Fermi-level density of states: 5.9 states/eV/f.u.
- Total magnetization: 0.000 μB per formula unit
- E_tot: -1.8742 eV/atom
- Volume: 344.2 Å³ per cell
- Symmetry: P4/mmm, No. 123

a b c (Å): 4.0590 4.0590 20.8934
angles (deg): 90.00 90.00 90.00
Atoms (fractional coordinates):
Ba  0.0000  0.0000  0.1041
Ba  0.0000  0.0000  0.3137
Ba  0.0000  0.0000  0.6863
Ba  0.0000  0.0000  0.8959
Tb  0.0000  0.0000  0.5000
Hg  0.5000  0.5000  0.0000
Hg  0.5000  0.5000  0.2079
Hg  0.5000  0.5000  0.4224
Hg  0.5000  0.5000  0.5776
Hg  0.5000  0.5000  0.7921

***

| no. | energy relative to the elements (meV/atom) |
| --- | --- |
| 1 | 1133 |
| 2 | 886 |
| 3 | 596 |
| 4 | 592 |
| 5 | 933 |
| 6 | 1354 |
| 7 | -307 |
| 8 | -477 |
| 9 | -487 |
| 10 | -438 |
| 11 | 72 |
| 12 | -491 |